1) The following is a PBE-GGA calculation of an optimized crystal structure of AsPSe2, from the Alexandria database.

Properties
- Symmetry: I-42d (122)
- D(E_F): 4.59 states/eV per cell

Cell: 6.853 6.853 6.273 Å, 56.89 56.89 90.00°
Sites, in units of the cell vectors:
P1 0.250 0.750 0.500
P2 0.500 0.500 0.000
As1 0.000 0.000 0.000
As2 0.750 0.250 0.500
Se1 0.138 0.625 0.250
Se2 0.612 0.125 0.250
Se3 0.375 0.388 0.750
Se4 0.875 0.862 0.750

***

2) The following is a PBE-GGA calculation of an optimized crystal structure of AsPSe2, from the Alexandria database.

Properties
- Symmetry: I4/mmm (139)
- D(E_F): 2.32 states/eV per cell

Cell: 4.739 4.741 4.738 Å, 69.96 71.69 110.05°
Sites, in units of the cell vectors:
Se1 0.500 0.000 0.500
Se2 0.000 0.000 0.000
P1 0.500 0.500 0.000
As1 0.000 0.500 0.500

***

3) The following is a PBE-GGA calculation of an optimized crystal structure of AsPSe2, from the Alexandria database.

Properties
- Symmetry: F-43m (216)
- D(E_F): 3.56 states/eV per cell

Cell: 4.730 4.730 4.730 Å, 60.00 60.00 60.00°
Sites, in units of the cell vectors:
Se1 0.250 0.250 0.250
Se2 0.000 0.000 0.000
As1 0.500 0.500 0.500
P1 0.750 0.750 0.750

***

4) The following is a PBE-GGA calculation of an optimized crystal structure of AsPSe2, from the Alexandria database.

Properties
- Symmetry: Cmm2 (35)
- D(E_F): 1.59 states/eV per cell

Cell: 2.762 2.762 11.520 Å, 90.00 90.00 103.81°
Sites, in units of the cell vectors:
Se1 0.000 0.000 0.947
Se2 0.500 0.500 0.297
P1 0.500 0.500 0.715
As1 0.000 0.000 0.540

***

Compare the structures above. Which one is the least stable? 3) is.